DFT (PBE) results for crystalline VGa2Ni7Pt2 at its relaxed geometry.

Lattice parameters (Å, degrees): 3.4008 3.4008 13.7846 96.15 96.15 89.93
Positions (direct):
V 0.0000 0.0000 0.0000
Ga 0.1610 0.1610 0.3600
Ga 0.8390 0.8390 0.6400
Ni 0.0574 0.5572 0.1326
Ni 0.2662 0.2662 0.5364
Ni 0.4428 0.9426 0.8674
Ni 0.5000 0.5000 0.0000
Ni 0.5572 0.0574 0.1326
Ni 0.7338 0.7338 0.4636
Ni 0.9426 0.4428 0.8674
Pt 0.3786 0.3786 0.7224
Pt 0.6214 0.6214 0.2776



DFT (PBE) results for crystalline V2Ga2Ni7Pt at its relaxed geometry.

Lattice parameters (Å, degrees): 3.6426 3.6426 11.4039 90.00 90.00 90.12
Positions (direct):
V 0.0000 0.0000 0.1766
V 0.0000 0.0000 0.8234
Ga 0.5000 0.5000 0.1892
Ga 0.5000 0.5000 0.8108
Ni 0.0000 0.0000 0.5000
Ni 0.0000 0.5000 0.3363
Ni 0.0000 0.5000 0.6637
Ni 0.2546 0.7454 0.0000
Ni 0.5000 0.0000 0.3363
Ni 0.5000 0.0000 0.6637
Ni 0.7454 0.2546 0.0000
Pt 0.5000 0.5000 0.5000



DFT (PBE) results for crystalline YGaNiPt3 at its relaxed geometry.

Lattice parameters (Å, degrees): 7.0173 7.0173 5.6776 90.00 90.00 132.33
Positions (direct):
Y 0.1818 0.8182 0.7500
Y 0.8182 0.1818 0.2500
Ga 0.1295 0.8705 0.2500
Ga 0.8705 0.1295 0.7500
Ni 0.3777 0.6223 0.7500
Ni 0.6223 0.3777 0.2500
Pt 0.2511 0.2511 0.0000
Pt 0.2511 0.2511 0.5000
Pt 0.3249 0.6751 0.2500
Pt 0.6751 0.3249 0.7500
Pt 0.7489 0.7489 0.0000
Pt 0.7489 0.7489 0.5000



DFT (PBE) results for crystalline Y2Ga3Ni12Pt at its relaxed geometry.

Lattice parameters (Å, degrees): 9.6573 9.6573 9.6573 35.50 35.50 35.50
Positions (direct):
Y 0.1412 0.1412 0.1412
Y 0.8588 0.8588 0.8588
Ga 0.0000 0.5000 0.5000
Ga 0.5000 0.0000 0.5000
Ga 0.5000 0.5000 0.0000
Ni 0.0645 0.6223 0.6223
Ni 0.0858 0.0858 0.6891
Ni 0.0858 0.6891 0.0858
Ni 0.3109 0.9142 0.9142
Ni 0.3777 0.3777 0.9355
Ni 0.3777 0.9355 0.3777
Ni 0.6223 0.0645 0.6223
Ni 0.6223 0.6223 0.0645
Ni 0.6891 0.0858 0.0858
Ni 0.9142 0.3109 0.9142
Ni 0.9142 0.9142 0.3109
Ni 0.9355 0.3777 0.3777
Pt 0.5000 0.5000 0.5000



DFT (PBE) results for crystalline Y2Ga3NiPt4 at its relaxed geometry.

Lattice parameters (Å, degrees): 4.0601 4.0601 11.0829 90.00 90.00 90.00
Positions (direct):
Y 0.0000 0.5000 0.2394
Y 0.5000 0.0000 0.7606
Ga 0.0000 0.0000 0.0000
Ga 0.0000 0.5000 0.6363
Ga 0.5000 0.0000 0.3637
Ni 0.5000 0.5000 0.0000
Pt 0.0000 0.0000 0.5000
Pt 0.0000 0.5000 0.8586
Pt 0.5000 0.0000 0.1414
Pt 0.5000 0.5000 0.5000



DFT (PBE) results for crystalline YGa4Ni2Pt at its relaxed geometry.

Lattice parameters (Å, degrees): 9.0948 9.0948 9.0948 26.37 26.37 26.37
Positions (direct):
Y 0.0000 0.0000 0.0000
Ga 0.1258 0.1258 0.1258
Ga 0.3994 0.3994 0.3994
Ga 0.6006 0.6006 0.6006
Ga 0.8742 0.8742 0.8742
Ni 0.2338 0.2338 0.2338
Ni 0.7662 0.7662 0.7662
Pt 0.5000 0.5000 0.5000



DFT (PBE) results for crystalline Y2Ga2NiPt5 at its relaxed geometry.

Lattice parameters (Å, degrees): 9.6908 9.6908 3.6981 90.00 90.00 90.00
Positions (direct):
Y 0.1750 0.3250 0.0000
Y 0.3250 0.8250 0.0000
Y 0.6750 0.1750 0.0000
Y 0.8250 0.6750 0.0000
Ga 0.1261 0.6261 0.0000
Ga 0.3739 0.1261 0.0000
Ga 0.6261 0.8739 0.0000
Ga 0.8739 0.3739 0.0000
Ni 0.0000 0.0000 0.0000
Ni 0.5000 0.5000 0.0000
Pt 0.0000 0.5000 0.5000
Pt 0.0608 0.8020 0.5000
Pt 0.1980 0.0608 0.5000
Pt 0.3020 0.5608 0.5000
Pt 0.4392 0.3020 0.5000
Pt 0.5000 0.0000 0.5000
Pt 0.5608 0.6980 0.5000
Pt 0.6980 0.4392 0.5000
Pt 0.8020 0.9392 0.5000
Pt 0.9392 0.1980 0.5000



DFT (PBE) results for crystalline ZnGa2Ni7Pt2 at its relaxed geometry.

Lattice parameters (Å, degrees): 3.3675 3.3675 14.1216 96.50 96.50 90.00
Positions (direct):
Zn 0.0000 0.0000 0.0000
Ga 0.1740 0.1740 0.3632
Ga 0.8260 0.8260 0.6368
Ni 0.0646 0.5645 0.1374
Ni 0.2677 0.2677 0.5361
Ni 0.4355 0.9354 0.8626
Ni 0.5000 0.5000 0.0000
Ni 0.5645 0.0646 0.1374
Ni 0.7323 0.7323 0.4639
Ni 0.9354 0.4355 0.8626
Pt 0.3668 0.3668 0.7197
Pt 0.6332 0.6332 0.2803



| no. | formation energy (eV per atom) | calculated volume (Å³ per cell) | spin magnetization (μB/f.u.) |
| --- | --- | --- | --- |
| 1 | -0.156 | 158 | 0.3 |
| 2 | -0.084 | 151 | 2.1 |
| 3 | -0.583 | 207 | 0.0 |
| 4 | -0.030 | 271 | 0.0 |
| 5 | -0.879 | 183 | 0.0 |
| 6 | -0.507 | 131 | 0.0 |
| 7 | -0.791 | 347 | 0.0 |
| 8 | -0.074 | 158 | 2.8 |